1.
Density functional theory data (PBE) for Ca2LaTe after structural relaxation.

POSCAR file:
```
Ca2LaTe
1.0
4.849 0.000 0.000
0.000 4.849 0.000
0.000 0.000 5.605
Ca La Te
2 1 1
direct
0.000 0.500 0.000
0.500 0.000 0.000
0.000 0.000 0.500
0.500 0.500 0.500
```

ΔE_f (raw) ... -488.2 meV/atom
Spin magnetization ... 0.06 μB per formula unit
ρ ... 4.4 Mg/m³
V ... 32.94 A^3/atom



2.
Density functional theory data (PBE) for Al2ZnRh after structural relaxation.

POSCAR file:
```
Al2ZnRh
1.0
2.671 -2.676 0.000
2.671 2.676 0.000
-2.661 0.000 3.989
Al Zn Rh
2 1 1
direct
0.000 0.000 0.000
0.749 0.251 0.500
0.499 0.501 0.000
0.249 0.751 0.500
```

Energy of formation from the pure elements ... -0.53 eV/atom
Spin magnetization ... 0.00 μB per formula unit
ρ ... 6.5 Mg/m³
V ... 14.25 A^3/atom



3.
Density functional theory data (PBE) for BaSrAcGd after structural relaxation.

POSCAR file:
```
BaSrAcGd
1.0
0.000 4.520 4.520
4.520 0.000 4.520
4.520 4.520 0.000
Ba Sr Ac Gd
1 1 1 1
direct
0.000 0.000 0.000
0.250 0.250 0.250
0.750 0.750 0.750
0.500 0.500 0.500
```

Energy of formation from the pure elements ... 0.19 eV/atom
Spin magnetization ... 7.30 μB per formula unit
ρ ... 5.5 Mg/m³
V ... 46.17 A^3/atom



4.
Density functional theory data (PBE) for LiSm5 after structural relaxation.

POSCAR file:
```
LiSm5
1.0
2.507 -7.580 0.000
2.507 7.580 0.000
0.000 0.000 5.069
Li Sm
1 5
direct
0.000 0.000 0.000
0.170 0.830 0.500
0.334 0.666 0.000
0.500 0.500 0.500
0.666 0.334 0.000
0.830 0.170 0.500
```

Energy of formation from the pure elements ... 0.11 eV/atom
Spin magnetization ... 0.00 μB per formula unit
ρ ... 6.5 Mg/m³
V ... 32.11 A^3/atom



5.
Density functional theory data (PBE) for CaPrTm2Tl4 after structural relaxation.

POSCAR file:
```
CaPrTm2Tl4
1.0
2.701 1.560 8.913
-2.701 1.560 8.913
0.000 -3.119 8.913
Ca Pr Tm Tl
1 1 2 4
direct
0.000 0.000 0.000
0.500 0.500 0.500
0.252 0.252 0.252
0.748 0.748 0.748
0.124 0.124 0.124
0.374 0.374 0.374
0.626 0.626 0.626
0.876 0.876 0.876
```

Energy of formation from the pure elements ... -0.35 eV/atom
Spin magnetization ... 0.00 μB per formula unit
ρ ... 9.8 Mg/m³
V ... 28.16 A^3/atom



- What is the ρ in the third record?
  5.5 Mg/m³



- ρ of number 1 (Ca2LaTe)?
  4.4 Mg/m³



- Which of these has the highest ρ?
  CaPrTm2Tl4



- What is the formula in the third record?
  BaSrAcGd